Run P
GdHfCSe | OQMD via LeMat-Bulk | PBE | relaxed; symmetry = P-3m1 (164)
1.0
3.5879 0.0000 0.0000
-1.7940 3.1072 0.0000
0.0000 0.0000 13.0945
Gd Se C Hf
2 2 2 2
Direct
0.3333 0.6667 0.3951 Gd
0.6667 0.3333 0.6049 Gd
0.3333 0.6667 0.7708 Se
0.6667 0.3333 0.2292 Se
0.0000 0.0000 0.5000 C
0.0000 0.0000 0.0000 C
0.3333 0.6667 0.0890 Hf
0.6667 0.3333 0.9110 Hf


Run Q
GdHfCSe | OQMD via LeMat-Bulk | PBE | relaxed; symmetry = P6_3mc (186)
1.0
3.5724 0.0000 0.0000
-1.7862 3.0938 0.0000
0.0000 0.0000 13.1194
Hf Gd C Se
2 2 2 2
Direct
0.3333 0.6667 0.4034 Hf
0.6667 0.3333 0.9034 Hf
0.3333 0.6667 0.0997 Gd
0.6667 0.3333 0.5997 Gd
0.0000 0.0000 0.4854 C
0.0000 0.0000 0.9854 C
0.3333 0.6667 0.7615 Se
0.6667 0.3333 0.2615 Se


Stability summary: most stable run Q, least stable run P.


Run P
Pr2Gd2CI5 | OQMD via LeMat-Bulk | PBE | relaxed; symmetry = C2/m (12)
1.0
9.5883 -2.0198 0.0000
9.5883 2.0198 0.0000
-1.9914 0.0000 8.5767
I Pr Gd C
5 2 2 1
Direct
0.5000 0.5000 0.5000 I
0.8330 0.8330 0.1901 I
0.1670 0.1670 0.8099 I
0.8381 0.8381 0.6481 I
0.1619 0.1619 0.3519 I
0.3636 0.3636 0.9315 Pr
0.6364 0.6364 0.0686 Pr
0.9993 0.9993 0.1892 Gd
0.0007 0.0007 0.8108 Gd
0.5000 0.5000 0.0000 C


Run Q
Pr2Gd2CI5 | OQMD via LeMat-Bulk | PBE | relaxed; symmetry = C2/m (12)
1.0
-5.5869 3.9435 7.1669
-5.7346 -0.0285 8.0773
8.1938 0.4932 3.4818
I Gd C Pr
5 2 1 2
Direct
0.1665 0.1665 0.3320 I
0.8335 0.8335 0.6680 I
0.5000 0.5000 0.5000 I
0.1717 0.1717 0.8344 I
0.8283 0.8283 0.1656 I
0.6296 0.6296 0.0647 Gd
0.3704 0.3704 0.9353 Gd
0.5000 0.5000 0.0000 C
0.0013 0.0013 0.8041 Pr
0.9987 0.9987 0.1959 Pr


Stability summary: most stable run Q, least stable run P.


Run P
Gd2Sc2CI5 | OQMD via LeMat-Bulk | PBE | relaxed; symmetry = C2/m (12)
1.0
-0.9062 -2.3379 9.3656
0.4562 -5.6720 7.8500
7.7455 3.3013 -0.2997
I Gd Sc C
5 2 2 1
Direct
0.5000 0.5000 0.5000 I
0.8429 0.8429 0.6532 I
0.1610 0.1610 0.8098 I
0.8390 0.8390 0.1902 I
0.1571 0.1571 0.3468 I
0.6285 0.6285 0.0640 Gd
0.3715 0.3715 0.9360 Gd
0.9999 0.9999 0.1770 Sc
0.0001 0.0001 0.8230 Sc
0.5000 0.5000 0.0000 C


Run Q
Gd2Sc2CI5 | OQMD via LeMat-Bulk | PBE | relaxed; symmetry = C2/m (12)
1.0
10.4601 -1.9469 0.0000
10.4601 1.9469 0.0000
-1.7108 0.0000 8.3867
Sc I Gd C
2 5 2 1
Direct
0.6091 0.6091 0.0540 Sc
0.3909 0.3909 0.9460 Sc
0.8487 0.8487 0.6877 I
0.1521 0.1521 0.8374 I
0.5000 0.5000 0.5000 I
0.1513 0.1513 0.3123 I
0.8479 0.8479 0.1626 I
0.0002 0.0002 0.8070 Gd
0.9998 0.9998 0.1930 Gd
0.5000 0.5000 0.0000 C


Stability summary: most stable run Q, least stable run P.


Run P
GdScCS | OQMD via LeMat-Bulk | PBE | relaxed; symmetry = P-3m1 (164)
1.0
3.6040 0.0000 0.0000
-1.8020 3.1211 0.0000
0.0000 0.0000 12.5347
C S Sc Gd
2 2 2 2
Direct
0.0000 0.0000 0.0000 C
0.0000 0.0000 0.5000 C
0.6667 0.3333 0.7328 S
0.3333 0.6667 0.2672 S
0.3333 0.6667 0.5959 Sc
0.6667 0.3333 0.4041 Sc
0.6667 0.3333 0.1117 Gd
0.3333 0.6667 0.8883 Gd


Run Q
GdScCS | OQMD via LeMat-Bulk | PBE | relaxed; symmetry = P6_3mc (186)
1.0
3.6044 0.0000 0.0000
-1.8022 3.1215 0.0000
0.0000 0.0000 12.5388
Sc S C Gd
2 2 2 2
Direct
0.6667 0.3333 0.1052 Sc
0.3333 0.6667 0.6052 Sc
0.6667 0.3333 0.7402 S
0.3333 0.6667 0.2402 S
0.0000 0.0000 0.0068 C
0.0000 0.0000 0.5068 C
0.6667 0.3333 0.3979 Gd
0.3333 0.6667 0.8979 Gd


Stability summary: most stable run Q, least stable run P.


Run P
HoH9C5N2O8 | OQMD via LeMat-Bulk | PBE | relaxed; symmetry = C2 (5)
1.0
5.5728 -3.5101 0.0000
5.5728 3.5101 0.0000
-2.2048 0.0000 6.0784
H N C O Ho
9 2 5 8 1
Direct
0.8937 0.5594 0.5973 H
0.5971 0.6564 0.4664 H
0.6480 0.3672 0.1772 H
0.4406 0.1063 0.4027 H
0.2587 0.3679 0.1271 H
0.3436 0.4029 0.5336 H
0.0133 0.9867 0.5000 H
0.6328 0.3520 0.8228 H
0.6321 0.7413 0.8729 H
0.4550 0.2364 0.5330 N
0.7636 0.5450 0.4670 N
0.8031 0.3755 0.2970 C
0.6305 0.8479 0.0406 C
0.6245 0.1969 0.7030 C
0.1521 0.3695 0.9594 C
0.1699 0.8301 0.5000 C
0.2491 0.7390 0.6696 O
0.9995 0.2316 0.2678 O
0.7901 0.9185 0.1332 O
0.0815 0.2099 0.8669 O
0.7684 0.0005 0.7322 O
0.2610 0.7509 0.3304 O
0.1092 0.5372 0.8717 O
0.4628 0.8908 0.1283 O
0.0973 0.9027 0.0000 Ho


Run Q
HoH9C5N2O8 | OQMD via LeMat-Bulk | PBE | relaxed; symmetry = C222_1 (20)
1.0
3.2931 -9.1507 0.0000
3.2931 9.1507 0.0000
0.0000 0.0000 8.2801
O H Ho C N
16 18 2 10 4
Direct
0.9347 0.0377 0.4314 O
0.4262 0.2398 0.7258 O
0.0653 0.9623 0.9314 O
0.3515 0.9895 0.9862 O
0.2398 0.4262 0.2742 O
0.9895 0.3515 0.0138 O
0.0377 0.9347 0.5686 O
0.6485 0.0105 0.4862 O
0.9389 0.4250 0.3392 O
0.5750 0.0611 0.1608 O
0.0611 0.5750 0.8392 O
0.7602 0.5738 0.7742 O
0.4250 0.9389 0.6608 O
0.9623 0.0653 0.0686 O
0.0105 0.6485 0.5138 O
0.5738 0.7602 0.2258 O
0.7524 0.7524 0.0000 H
0.2476 0.2476 0.5000 H
0.6676 0.6557 0.3275 H
0.3324 0.3443 0.8275 H
0.3443 0.3324 0.1725 H
0.9236 0.5019 0.0600 H
0.5019 0.9236 0.9400 H
0.6557 0.6676 0.6725 H
0.4981 0.0764 0.4400 H
0.6861 0.3139 0.7500 H
0.8331 0.6468 0.4018 H
0.1669 0.3532 0.9018 H
0.3139 0.6861 0.2500 H
0.6468 0.8331 0.5982 H
0.3532 0.1669 0.0982 H
0.0764 0.4981 0.5600 H
0.3454 0.6546 0.7500 H
0.6546 0.3454 0.2500 H
0.8576 0.1424 0.2500 Ho
0.1424 0.8576 0.7500 Ho
0.5235 0.0108 0.5272 C
0.3743 0.6257 0.2500 C
0.4765 0.9892 0.0272 C
0.4052 0.5948 0.7500 C
0.6257 0.3743 0.7500 C
0.9204 0.9204 0.0000 C
0.9892 0.4765 0.9728 C
0.0108 0.5235 0.4728 C
0.0796 0.0796 0.5000 C
0.5948 0.4052 0.2500 C
0.2963 0.4196 0.8342 N
0.5804 0.7037 0.6658 N
0.4196 0.2963 0.1658 N
0.7037 0.5804 0.3342 N


Stability summary: most stable run Q, least stable run P.


Run P
HfC2 | OQMD via LeMat-Bulk | PBE | relaxed; symmetry = Fd-3m (227)
1.0
0.0000 3.1329 3.1329
3.1329 0.0000 3.1329
3.1329 3.1329 0.0000
Hf C
2 4
Direct
0.5000 0.5000 0.5000 Hf
0.7500 0.7500 0.7500 Hf
0.1250 0.1250 0.6250 C
0.1250 0.1250 0.1250 C
0.6250 0.1250 0.1250 C
0.1250 0.6250 0.1250 C


Run Q
HfC2 | OQMD via LeMat-Bulk | PBE | relaxed; symmetry = Fd-3m (227)
1.0
5.5086 -3.9971 -1.2299
6.3738 2.4965 0.9879
3.8411 -2.3106 5.2670
C Hf
4 2
Direct
0.3750 0.3750 0.3750 C
0.8750 0.3750 0.3750 C
0.3750 0.3750 0.8750 C
0.3750 0.8750 0.3750 C
0.2500 0.2500 0.2500 Hf
0.5000 0.5000 0.5000 Hf


Stability summary: most stable run P, least stable run Q.